A relaxed Hf2Ni3Pt2 crystal. Source: Alexandria, functional PBE.

As for the density of states at the Fermi level: 4.1 states/eV/cell. The space group is No. 12. The value obtained for the formation energy is -0.535 eV/atom.

Lattice parameters (Å, degrees): 3.8812 4.9235 8.4738 127.71 90.00 113.21
Closest atoms and distances in Å follow each position.
Element x y z (fractional)
Hf  0.4204  0.8408  0.2231  6 Ni 2.57-2.81, 4 Pt 2.78-2.83
Pt  0.2127  0.4254  0.3593  4 Ni 2.55-2.80, 4 Hf 2.78-2.83, 2 Pt 2.79
Ni  0.0000  0.0000  0.5000  2 Ni 2.48, 4 Hf 2.75
Hf  0.5796  0.1592  0.7769  6 Ni 2.57-2.81, 4 Pt 2.78-2.83
Ni  0.6708  0.3416  0.1365  2 Ni 2.32-2.48, 2 Pt 2.55, 1 Hf 2.57
Pt  0.7873  0.5746  0.6407  4 Ni 2.55-2.80, 4 Hf 2.78-2.83, 2 Pt 2.79
Ni  0.3292  0.6584  0.8635  2 Ni 2.32-2.48, 2 Pt 2.55, 1 Hf 2.57

A relaxed HfNiPt crystal. Source: Alexandria, functional PBE.

As for the density of states at the Fermi level: 2.4 states/eV/cell. For the polymorph energy (0 for the lowest one), the calculation gives 24.1 meV per atom. The space group is No. 107. The value obtained for the formation energy is -0.785 eV/atom.

Lattice parameters (Å, degrees): 3.3542 3.3542 4.8593 110.19 110.19 90.00
Closest atoms and distances in Å follow each position.
Element x y z (fractional)
Pt  0.9522  0.9522  0.9045  5 Ni 2.76-2.80, 5 Hf 2.77-2.81
Ni  0.2772  0.2772  0.5543  5 Hf 2.72-2.91, 5 Pt 2.76-2.80
Hf  0.6206  0.6206  0.2412  5 Ni 2.72-2.91, 5 Pt 2.77-2.81

A relaxed Hf4Ni3Pt crystal. Source: Alexandria, functional PBE.

As for the density of states at the Fermi level: 5.0 states/eV/cell. The space group is No. 25. The value obtained for the formation energy is -0.667 eV/atom.

Lattice parameters (Å, degrees): 3.2972 4.1566 9.9411 90.00 90.00 90.00
Closest atoms and distances in Å follow each position.
Element x y z (fractional)
Ni  0.0000  0.5000  0.5831  2 Ni 2.64, 7 Hf 2.67-2.71
Pt  0.5000  0.5000  0.0853  7 Hf 2.72-2.85, 2 Ni 2.74
Hf  0.0000  0.5000  0.8516  5 Ni 2.67-2.71, 2 Pt 2.85
Hf  0.5000  0.0000  0.6392  7 Ni 2.66-2.74
Hf  0.0000  0.0000  0.1467  3 Ni 2.71-2.90, 4 Pt 2.72
Ni  0.5000  0.0000  0.9063  7 Hf 2.66-2.90, 2 Pt 2.74
Hf  0.5000  0.5000  0.3686  6 Ni 2.70, 1 Pt 2.82
Ni  0.0000  0.0000  0.4191  2 Ni 2.64, 7 Hf 2.70-2.74